Density functional theory data (GGA-PBE) for MgTiAg2S4 after structural relaxation.

a = 5.770 Å, b = 5.770 Å, c = 6.893 Å
α = 114.76°, β = 114.76°, γ = 90.01°
Positions (direct):
Mg (0.986, 0.486, 0.972)
Ti (0.736, 0.736, 0.472)
Ag (0.236, 0.236, 0.472)
Ag (0.486, 0.986, 0.972)
S (0.076, 0.092, 0.710)
S (0.854, 0.396, 0.234)
S (0.380, 0.838, 0.234)
S (0.634, 0.618, 0.710)

* calculated volume: 185 Å³ per cell
* calculated total energy: -38.372 eV for the cell shown
* space-group type: I-4
* magnetization: 0.00 Bohr magnetons per cell
* formation energy without anion corrections: -0.83 eV/atom